Computed, not measured: crystalline CsHg3Os at its relaxed geometry at the GGA-PBE level of DFT.

Calculated values
crystal system	cubic
total moment	0.00	μB per cell
calculated formation energy	0.29	eV/atom
distance to the lowest polymorph of the same formula	0.000	eV/f.u.
theoretical density	9.8	g cm⁻³

Cell lengths 5.3841, 5.3841, 5.3841 Å; angles 90.00, 90.00, 90.00 degrees
Closest atoms and distances in Å follow each position.
Space group Pm-3m (No. 221)
Symmetry-distinct sites (fractional):
Cs (0.0000, 0.0000, 0.0000) x1  12 Hg 3.81
Hg (0.0000, 0.5000, 0.5000) x3  2 Os 2.69
Os (0.5000, 0.5000, 0.5000) x1  6 Hg 2.69